{
  "formula": "TiHgP3",
  "functional": "GGA-PBE",
  "state": "optimized geometry",
  "lattice": [[4.876, 0.000, 0.000], [0.000, 4.876, 0.000], [0.000, 0.000, 4.876]],
  "species": ["Ti", "Hg", "P", "P", "P"],
  "fractional_positions": [[0.000, 0.000, 0.000], [0.500, 0.500, 0.500], [0.000, 0.500, 0.500], [0.500, 0.000, 0.500], [0.500, 0.500, 0.000]],
  "dos_at_fermi_per_ev_atom": 1.167,
  "delta_e_f_ev_per_atom": 1.378,
  "polymorph_energy_mev_per_atom": 1101,
  "dft_energy_ev_per_cell": -17.54
}